(1)
4
Lattice="2.804 0.000 0.000 0.000 3.885 0.000 0.000 0.000 5.602" Properties=species:S:1:pos:R:3 comment="TcRuW2 PBE-GGA relaxed" formation_enthalpy_0k_ev_per_atom=0.122 e_tot_ha_per_atom=-0.4140 dos_ef_per_ev_atom=0.8540 relative_energy_ev_per_atom=0.000 space_group="No. 47" pbc="T T T"
Tc 0.000 0.000 0.000
Ru 0.000 0.000 2.801
W 1.402 1.943 1.407
W 1.402 1.943 4.195

***

(2)
3
Lattice="4.385 0.000 0.000 -2.193 3.798 0.000 0.000 0.000 2.722" Properties=species:S:1:pos:R:3 comment="TcRuW PBE-GGA relaxed" formation_enthalpy_0k_ev_per_atom=0.182 e_tot_ha_per_atom=-0.3926 dos_ef_per_ev_atom=1.0834 relative_energy_ev_per_atom=0.126 space_group="No. 156" pbc="T T T"
Tc 0.000 0.000 0.000
Ru 2.193 1.266 1.503
W 0.000 2.532 0.598

***

(3)
4
Lattice="4.429 0.000 0.000 0.000 4.429 0.000 0.000 0.000 3.054" Properties=species:S:1:pos:R:3 comment="Tc2RuW PBE-GGA relaxed" formation_enthalpy_0k_ev_per_atom=0.243 e_tot_ha_per_atom=-0.3858 dos_ef_per_ev_atom=1.7969 relative_energy_ev_per_atom=0.185 space_group="No. 123" pbc="T T T"
Tc 0.000 2.215 0.000
Tc 2.215 0.000 0.000
Ru 0.000 0.000 1.527
W 2.215 2.215 1.527

***

(4)
4
Lattice="2.739 0.000 0.000 0.000 4.401 0.000 -1.034 0.000 5.108" Properties=species:S:1:pos:R:3 comment="TcRuW2 PBE-GGA relaxed" formation_enthalpy_0k_ev_per_atom=0.143 e_tot_ha_per_atom=-0.4132 dos_ef_per_ev_atom=0.9622 relative_energy_ev_per_atom=0.021 space_group="No. 6" pbc="T T T"
Tc 0.000 0.000 0.000
Ru 0.246 2.200 3.727
W 1.013 0.000 2.555
W 1.874 2.200 1.190

***

(5)
4
Lattice="2.712 0.000 0.000 0.000 4.090 0.000 -0.731 0.000 5.403" Properties=species:S:1:pos:R:3 comment="Tc2RuW PBE-GGA relaxed" formation_enthalpy_0k_ev_per_atom=0.128 e_tot_ha_per_atom=-0.3900 dos_ef_per_ev_atom=0.9468 relative_energy_ev_per_atom=0.071 space_group="No. 10" pbc="T T T"
Tc 0.035 0.000 1.296
Tc 1.946 0.000 4.107
Ru 1.356 2.045 0.000
W 0.991 2.045 2.701

***

(6)
4
Lattice="2.760 -3.909 0.000 2.760 3.909 0.000 0.000 0.000 2.754" Properties=species:S:1:pos:R:3 comment="Tc2RuW PBE-GGA relaxed" formation_enthalpy_0k_ev_per_atom=0.092 e_tot_ha_per_atom=-0.3913 dos_ef_per_ev_atom=0.8140 relative_energy_ev_per_atom=0.034 space_group="No. 65" pbc="T T T"
Tc 1.380 1.954 0.000
Tc 1.380 -1.954 0.000
Ru 0.000 0.000 1.377
W 2.760 0.000 1.377

***

(7)
4
Lattice="2.719 0.000 0.000 0.000 4.164 0.000 -0.997 0.000 5.293" Properties=species:S:1:pos:R:3 comment="Tc2RuW PBE-GGA relaxed" formation_enthalpy_0k_ev_per_atom=0.125 e_tot_ha_per_atom=-0.3901 dos_ef_per_ev_atom=0.9027 relative_energy_ev_per_atom=0.068 space_group="No. 6" pbc="T T T"
Tc 0.000 0.000 0.000
Tc 0.410 2.082 3.994
Ru 1.731 0.000 2.692
W 0.817 2.082 1.355

***

(8)
3
Lattice="-1.573 1.573 4.633 1.573 -1.573 4.633 1.573 1.573 -4.633" Properties=species:S:1:pos:R:3 comment="TcRuW PBE-GGA relaxed" formation_enthalpy_0k_ev_per_atom=0.237 e_tot_ha_per_atom=-0.3906 dos_ef_per_ev_atom=1.2348 relative_energy_ev_per_atom=0.182 space_group="No. 107" pbc="T T T"
Tc 0.000 0.000 0.000
Ru 0.000 0.000 6.379
W 0.000 0.000 3.251

***

(9)
4
Lattice="2.746 0.000 0.000 0.000 2.746 0.000 0.000 0.000 7.903" Properties=species:S:1:pos:R:3 comment="Tc2RuW PBE-GGA relaxed" formation_enthalpy_0k_ev_per_atom=0.124 e_tot_ha_per_atom=-0.3901 dos_ef_per_ev_atom=0.9097 relative_energy_ev_per_atom=0.067 space_group="No. 123" pbc="T T T"
Tc 0.000 0.000 1.891
Tc 0.000 0.000 6.013
Ru 1.373 1.373 0.000
W 1.373 1.373 3.952

***

(10)
4
Lattice="4.545 -1.378 0.000 4.545 1.378 0.000 -0.829 0.000 4.688" Properties=species:S:1:pos:R:3 comment="TcRu2W PBE-GGA relaxed" formation_enthalpy_0k_ev_per_atom=0.066 e_tot_ha_per_atom=-0.3823 dos_ef_per_ev_atom=1.0025 relative_energy_ev_per_atom=0.051 space_group="No. 12" pbc="T T T"
Tc 0.000 0.000 0.000
Ru 1.660 0.000 3.559
Ru 6.603 0.000 1.129
W 4.131 0.000 2.344

***

(11)
4
Lattice="4.575 -1.384 0.000 4.575 1.384 0.000 -0.843 0.000 4.696" Properties=species:S:1:pos:R:3 comment="Tc2RuW PBE-GGA relaxed" formation_enthalpy_0k_ev_per_atom=0.077 e_tot_ha_per_atom=-0.3919 dos_ef_per_ev_atom=0.7733 relative_energy_ev_per_atom=0.019 space_group="No. 12" pbc="T T T"
Tc 2.030 0.000 1.122
Tc 6.278 0.000 3.574
Ru 4.575 0.000 0.000
W -0.422 0.000 2.348

***

(12)
4
Lattice="4.561 -1.382 0.000 4.561 1.382 0.000 -0.846 0.000 4.720" Properties=species:S:1:pos:R:3 comment="Tc2RuW PBE-GGA relaxed" formation_enthalpy_0k_ev_per_atom=0.080 e_tot_ha_per_atom=-0.3918 dos_ef_per_ev_atom=0.7986 relative_energy_ev_per_atom=0.023 space_group="No. 8" pbc="T T T"
Tc 0.000 0.000 0.000
Tc 6.632 0.000 1.131
Ru 4.105 0.000 2.254
W 1.610 0.000 3.456